## CsRbAgHg2 (PBE-GGA)

Data for crystalline CsRbAgHg2 at its relaxed geometry.

Summary:
* calculated formation energy: 0.007 eV per atom
* calculated density: 5.700 g/cm³
* distance to the lowest polymorph of the same formula: 33 meV/atom

```
CsRbAgHg2
1.0
5.732 0.000 0.000
0.000 5.732 0.000
0.000 0.000 6.451
Hg Cs Ag Rb
2 1 1 1
direct
0.500 0.000 0.000
0.000 0.500 0.000
0.000 0.000 0.500
0.000 0.000 0.000
0.500 0.500 0.500
```